# SrZrCrH2 | Alexandria via LeMat-Bulk | PBE-GGA | optimized geometry
data_SrZrCrH2
_chemical_formula_sum 'Sr1 Zr1 Cr1 H2'
_cell_length_a 4.1230
_cell_length_b 4.1230
_cell_length_c 6.5828
_cell_angle_alpha 90.00
_cell_angle_beta 90.00
_cell_angle_gamma 90.00
_space_group_name_H-M_alt 'P 1'
_space_group_IT_number 1
_space_group_name_Hall 'P 1'
loop_
_atom_site_label
_atom_site_fract_x
_atom_site_fract_y
_atom_site_fract_z
Sr1 0.0000 0.0000 0.0000
Zr1 0.0000 0.0000 0.5000
Cr1 0.5000 0.5000 0.0000
H1 0.0000 0.5000 0.5000
H2 0.5000 0.0000 0.5000
# - Raw total energy: -4.3664 eV/atom
# - Calculated volume: 112 Å³ per cell
# - Total magnetization: 3.28 μB/f.u.
# - DOS(E_F): 0.68 states/eV per atom

---

# Ta3CrH | Alexandria via LeMat-Bulk | PBE-GGA | optimized geometry
data_Ta3CrH
_chemical_formula_sum 'Ta3 Cr1 H1'
_cell_length_a 4.1361
_cell_length_b 4.1361
_cell_length_c 4.1361
_cell_angle_alpha 90.00
_cell_angle_beta 90.00
_cell_angle_gamma 90.00
_space_group_name_H-M_alt 'P 1'
_space_group_IT_number 1
_space_group_name_Hall 'P 1'
loop_
_atom_site_label
_atom_site_fract_x
_atom_site_fract_y
_atom_site_fract_z
Ta1 0.0000 0.0000 0.5000
Ta2 0.0000 0.5000 0.0000
Ta3 0.5000 0.0000 0.0000
Cr1 0.5000 0.5000 0.5000
H1 0.0000 0.0000 0.0000
# - Raw total energy: -9.4512 eV/atom
# - Calculated volume: 71 Å³ per cell
# - Total magnetization: 0.00 μB/f.u.
# - DOS(E_F): 0.87 states/eV per atom

---

# Ta5Cr2H12 | Alexandria via LeMat-Bulk | PBE-GGA | optimized geometry
data_Ta5Cr2H12
_chemical_formula_sum 'Ta5 Cr2 H12'
_cell_length_a 5.3127
_cell_length_b 5.3127
_cell_length_c 6.2938
_cell_angle_alpha 97.67
_cell_angle_beta 97.67
_cell_angle_gamma 57.27
_space_group_name_H-M_alt 'P 1'
_space_group_IT_number 1
_space_group_name_Hall 'P 1'
loop_
_atom_site_label
_atom_site_fract_x
_atom_site_fract_y
_atom_site_fract_z
Ta1 0.0000 0.0000 0.0000
Ta2 0.2744 0.2744 0.6769
Ta3 0.3584 0.3584 0.1189
Ta4 0.6416 0.6416 0.8811
Ta5 0.7256 0.7256 0.3231
Cr1 0.2240 0.7760 0.5000
Cr2 0.7760 0.2240 0.5000
H1 0.0429 0.6070 0.8943
H2 0.0690 0.0690 0.3329
H3 0.1388 0.5096 0.4000
H4 0.3930 0.9571 0.1057
H5 0.4756 0.4756 0.6594
H6 0.4904 0.8612 0.6000
H7 0.5096 0.1388 0.4000
H8 0.5244 0.5244 0.3406
H9 0.6070 0.0429 0.8943
H10 0.8612 0.4904 0.6000
H11 0.9310 0.9310 0.6671
H12 0.9571 0.3930 0.1057
# - Raw total energy: -6.2715 eV/atom
# - Calculated volume: 148 Å³ per cell
# - Total magnetization: 0.00 μB/f.u.
# - DOS(E_F): 0.33 states/eV per atom

---

# Ta2CrH4 | Alexandria via LeMat-Bulk | PBE-GGA | optimized geometry
data_Ta2CrH4
_chemical_formula_sum 'Ta4 Cr2 H8'
_cell_length_a 5.7313
_cell_length_b 5.7313
_cell_length_c 5.7313
_cell_angle_alpha 120.04
_cell_angle_beta 119.86
_cell_angle_gamma 90.09
_space_group_name_H-M_alt 'P 1'
_space_group_IT_number 1
_space_group_name_Hall 'P 1'
loop_
_atom_site_label
_atom_site_fract_x
_atom_site_fract_y
_atom_site_fract_z
Ta1 0.0000 0.0000 0.0000
Ta2 0.5000 0.0000 0.0000
Ta3 0.5000 0.0000 0.5000
Ta4 0.5000 0.5000 0.5000
Cr1 0.1233 0.3733 0.7500
Cr2 0.8767 0.6267 0.2500
H1 0.2551 0.2442 0.4890
H2 0.2551 0.7661 0.0110
H3 0.2563 0.2445 0.0118
H4 0.2673 0.7555 0.5118
H5 0.7327 0.2445 0.4882
H6 0.7437 0.7555 0.9882
H7 0.7449 0.2339 0.9890
H8 0.7449 0.7558 0.5110
# - Raw total energy: -6.5941 eV/atom
# - Calculated volume: 133 Å³ per cell
# - Total magnetization: 2.99 μB/f.u.
# - DOS(E_F): 0.50 states/eV per atom

---

# TaCrH4 | Alexandria via LeMat-Bulk | PBE-GGA | optimized geometry
data_TaCrH4
_chemical_formula_sum 'Ta1 Cr1 H4'
_cell_length_a 3.0200
_cell_length_b 3.0200
_cell_length_c 4.3834
_cell_angle_alpha 90.00
_cell_angle_beta 90.00
_cell_angle_gamma 90.00
_space_group_name_H-M_alt 'P 1'
_space_group_IT_number 1
_space_group_name_Hall 'P 1'
loop_
_atom_site_label
_atom_site_fract_x
_atom_site_fract_y
_atom_site_fract_z
Ta1 0.0000 0.0000 0.0000
Cr1 0.5000 0.5000 0.5000
H1 0.0000 0.5000 0.2822
H2 0.0000 0.5000 0.7178
H3 0.5000 0.0000 0.2822
H4 0.5000 0.0000 0.7178
# - Raw total energy: -5.8813 eV/atom
# - Calculated volume: 40 Å³ per cell
# - Total magnetization: 0.01 μB/f.u.
# - DOS(E_F): 0.39 states/eV per atom

---

# TaCrH3 | Alexandria via LeMat-Bulk | PBE-GGA | optimized geometry
data_TaCrH3
_chemical_formula_sum 'Ta1 Cr1 H3'
_cell_length_a 3.3393
_cell_length_b 3.3393
_cell_length_c 3.3393
_cell_angle_alpha 90.00
_cell_angle_beta 90.00
_cell_angle_gamma 90.00
_space_group_name_H-M_alt 'P 1'
_space_group_IT_number 1
_space_group_name_Hall 'P 1'
loop_
_atom_site_label
_atom_site_fract_x
_atom_site_fract_y
_atom_site_fract_z
Ta1 0.0000 0.0000 0.0000
Cr1 0.5000 0.5000 0.5000
H1 0.0000 0.5000 0.5000
H2 0.5000 0.0000 0.5000
H3 0.5000 0.5000 0.0000
# - Raw total energy: -6.1323 eV/atom
# - Calculated volume: 37 Å³ per cell
# - Total magnetization: 1.75 μB/f.u.
# - DOS(E_F): 0.55 states/eV per atom

---

# Ta3CrH7 | Alexandria via LeMat-Bulk | PBE-GGA | optimized geometry
data_Ta3CrH7
_chemical_formula_sum 'Ta6 Cr2 H14'
_cell_length_a 5.3778
_cell_length_b 5.3778
_cell_length_c 6.2946
_cell_angle_alpha 90.00
_cell_angle_beta 90.00
_cell_angle_gamma 70.05
_space_group_name_H-M_alt 'P 1'
_space_group_IT_number 1
_space_group_name_Hall 'P 1'
loop_
_atom_site_label
_atom_site_fract_x
_atom_site_fract_y
_atom_site_fract_z
Ta1 0.0000 0.0000 0.0000
Ta2 0.0000 0.0000 0.5000
Ta3 0.0123 0.4988 0.7500
Ta4 0.4988 0.0123 0.2500
Ta5 0.5012 0.9877 0.7500
Ta6 0.9877 0.5012 0.2500
Cr1 0.5000 0.5000 0.0000
Cr2 0.5000 0.5000 0.5000
H1 0.1215 0.1250 0.2500
H2 0.1250 0.1215 0.7500
H3 0.1511 0.6072 0.0095
H4 0.1511 0.6072 0.4905
H5 0.3926 0.6074 0.7500
H6 0.3928 0.8489 0.0095
H7 0.3928 0.8489 0.4905
H8 0.6072 0.1511 0.5095
H9 0.6072 0.1511 0.9905
H10 0.6074 0.3926 0.2500
H11 0.8489 0.3928 0.5095
H12 0.8489 0.3928 0.9905
H13 0.8750 0.8785 0.2500
H14 0.8785 0.8750 0.7500
# - Raw total energy: -6.2801 eV/atom
# - Calculated volume: 171 Å³ per cell
# - Total magnetization: 0.83 μB/f.u.
# - DOS(E_F): 0.33 states/eV per atom

---

# Ta3Cr5H12 | Alexandria via LeMat-Bulk | PBE-GGA | optimized geometry
data_Ta3Cr5H12
_chemical_formula_sum 'Ta12 Cr20 H48'
_cell_length_a 9.2149
_cell_length_b 9.2149
_cell_length_c 9.2149
_cell_angle_alpha 109.47
_cell_angle_beta 109.47
_cell_angle_gamma 109.47
_space_group_name_H-M_alt 'P 1'
_space_group_IT_number 1
_space_group_name_Hall 'P 1'
loop_
_atom_site_label
_atom_site_fract_x
_atom_site_fract_y
_atom_site_fract_z
Ta1 0.1250 0.2500 0.3750
Ta2 0.1250 0.3750 0.7500
Ta3 0.2500 0.3750 0.1250
Ta4 0.2500 0.8750 0.6250
Ta5 0.3750 0.1250 0.2500
Ta6 0.3750 0.7500 0.1250
Ta7 0.6250 0.2500 0.8750
Ta8 0.6250 0.8750 0.7500
Ta9 0.7500 0.1250 0.3750
Ta10 0.7500 0.6250 0.8750
Ta11 0.8750 0.6250 0.2500
Ta12 0.8750 0.7500 0.6250
Cr1 0.0000 0.0000 0.0000
Cr2 0.0000 0.0000 0.5000
Cr3 0.0000 0.5000 0.0000
Cr4 0.0000 0.5000 0.5000
Cr5 0.1250 0.7500 0.8750
Cr6 0.1250 0.8750 0.2500
Cr7 0.2500 0.1250 0.8750
Cr8 0.2500 0.6250 0.3750
Cr9 0.3750 0.2500 0.6250
Cr10 0.3750 0.6250 0.7500
Cr11 0.5000 0.0000 0.0000
Cr12 0.5000 0.0000 0.5000
Cr13 0.5000 0.5000 0.0000
Cr14 0.5000 0.5000 0.5000
Cr15 0.6250 0.3750 0.2500
Cr16 0.6250 0.7500 0.3750
Cr17 0.7500 0.3750 0.6250
Cr18 0.7500 0.8750 0.1250
Cr19 0.8750 0.1250 0.7500
Cr20 0.8750 0.2500 0.1250
H1 0.0499 0.2141 0.1307
H2 0.0499 0.3358 0.9192
H3 0.0808 0.6307 0.4166
H4 0.0808 0.9501 0.6642
H5 0.0834 0.7141 0.6642
H6 0.0834 0.8693 0.4192
H7 0.1307 0.0499 0.2141
H8 0.1307 0.5808 0.9166
H9 0.1642 0.2141 0.5834
H10 0.1642 0.4501 0.5808
H11 0.2141 0.1307 0.0499
H12 0.2141 0.5834 0.1642
H13 0.2859 0.3358 0.9166
H14 0.2859 0.4501 0.3693
H15 0.3358 0.9166 0.2859
H16 0.3358 0.9192 0.0499
H17 0.3693 0.2859 0.4501
H18 0.3693 0.5834 0.9192
H19 0.4166 0.0808 0.6307
H20 0.4166 0.8358 0.7859
H21 0.4192 0.0834 0.8693
H22 0.4192 0.8358 0.5499
H23 0.4501 0.3693 0.2859
H24 0.4501 0.5808 0.1642
H25 0.5499 0.4192 0.8358
H26 0.5499 0.6307 0.7141
H27 0.5808 0.1642 0.4501
H28 0.5808 0.9166 0.1307
H29 0.5834 0.1642 0.2141
H30 0.5834 0.9192 0.3693
H31 0.6307 0.4166 0.0808
H32 0.6307 0.7141 0.5499
H33 0.6642 0.0808 0.9501
H34 0.6642 0.0834 0.7141
H35 0.7141 0.5499 0.6307
H36 0.7141 0.6642 0.0834
H37 0.7859 0.4166 0.8358
H38 0.7859 0.8693 0.9501
H39 0.8358 0.5499 0.4192
H40 0.8358 0.7859 0.4166
H41 0.8693 0.4192 0.0834
H42 0.8693 0.9501 0.7859
H43 0.9166 0.1307 0.5808
H44 0.9166 0.2859 0.3358
H45 0.9192 0.0499 0.3358
H46 0.9192 0.3693 0.5834
H47 0.9501 0.6642 0.0808
H48 0.9501 0.7859 0.8693
# - Raw total energy: -6.1646 eV/atom
# - Calculated volume: 602 Å³ per cell
# - Total magnetization: 4.24 μB/f.u.
# - DOS(E_F): 0.41 states/eV per atom